Record 1
This record from the Alexandria database describes a relaxed structure of Hf2Cr. The functional is PBE.

Structure (CIF):
```
data_Hf2Cr
_space_group_name_H-M_alt 'P 1'
_space_group_IT_number 1
_space_group_name_Hall 'P 1'
_cell_length_a 3.1392
_cell_length_b 5.4069
_cell_length_c 7.3765
_cell_angle_alpha 111.29
_cell_angle_beta 92.06
_cell_angle_gamma 104.07
loop_
_atom_site_label
_atom_site_type_symbol
_atom_site_fract_x
_atom_site_fract_y
_atom_site_fract_z
_atom_site_occupancy
Cr1 Cr 0.7960 0.1176 0.9501 1
Cr2 Cr 0.2040 0.8824 0.0499 1
Hf1 Hf 0.4666 0.5255 0.2177 1
Hf2 Hf 0.1649 0.8368 0.6115 1
Hf3 Hf 0.5334 0.4745 0.7823 1
Hf4 Hf 0.8351 0.1632 0.3885 1
```

=====

Record 2
This record from the Alexandria database describes a relaxed structure of HfCr. The functional is PBE.

Structure (CIF):
```
data_HfCr
_space_group_name_H-M_alt 'P 1'
_space_group_IT_number 1
_space_group_name_Hall 'P 1'
_cell_length_a 7.6418
_cell_length_b 7.6418
_cell_length_c 4.7439
_cell_angle_alpha 90.00
_cell_angle_beta 90.00
_cell_angle_gamma 90.00
loop_
_atom_site_label
_atom_site_type_symbol
_atom_site_fract_x
_atom_site_fract_y
_atom_site_fract_z
_atom_site_occupancy
Hf1 Hf 0.5000 0.2050 0.0000 1
Hf2 Hf 0.2950 0.0000 0.5000 1
Hf3 Hf 0.5000 0.7950 0.0000 1
Hf4 Hf 0.7950 0.5000 0.0000 1
Hf5 Hf 0.0000 0.7050 0.5000 1
Hf6 Hf 0.0000 0.2950 0.5000 1
Hf7 Hf 0.2050 0.5000 0.0000 1
Hf8 Hf 0.7050 0.0000 0.5000 1
Cr1 Cr 0.6485 0.3515 0.5000 1
Cr2 Cr 0.3515 0.6485 0.5000 1
Cr3 Cr 0.8515 0.1485 0.0000 1
Cr4 Cr 0.8515 0.8515 0.0000 1
Cr5 Cr 0.1485 0.1485 0.0000 1
Cr6 Cr 0.3515 0.3515 0.5000 1
Cr7 Cr 0.1485 0.8515 0.0000 1
Cr8 Cr 0.6485 0.6485 0.5000 1
```

=====

Record 3
This record from the Alexandria database describes a relaxed structure of HfCr. The functional is PBE.

Structure (CIF):
```
data_HfCr
_space_group_name_H-M_alt 'P 1'
_space_group_IT_number 1
_space_group_name_Hall 'P 1'
_cell_length_a 5.3355
_cell_length_b 5.3355
_cell_length_c 5.3369
_cell_angle_alpha 90.00
_cell_angle_beta 90.00
_cell_angle_gamma 90.00
loop_
_atom_site_label
_atom_site_type_symbol
_atom_site_fract_x
_atom_site_fract_y
_atom_site_fract_z
_atom_site_occupancy
Cr1 Cr 0.1817 0.1817 0.5000 1
Cr2 Cr 0.3183 0.6817 0.0000 1
Cr3 Cr 0.8183 0.8183 0.5000 1
Cr4 Cr 0.6817 0.3183 0.0000 1
Hf1 Hf 0.1925 0.1925 0.0000 1
Hf2 Hf 0.8075 0.8075 0.0000 1
Hf3 Hf 0.3075 0.6925 0.5000 1
Hf4 Hf 0.6925 0.3075 0.5000 1
```

=====

Record 4
This record from the Alexandria database describes a relaxed structure of Hf2Cr. The functional is PBE.

Structure (CIF):
```
data_Hf2Cr
_space_group_name_H-M_alt 'P 1'
_space_group_IT_number 1
_space_group_name_Hall 'P 1'
_cell_length_a 4.7927
_cell_length_b 14.6065
_cell_length_c 3.1778
_cell_angle_alpha 90.00
_cell_angle_beta 90.00
_cell_angle_gamma 90.00
loop_
_atom_site_label
_atom_site_type_symbol
_atom_site_fract_x
_atom_site_fract_y
_atom_site_fract_z
_atom_site_occupancy
Hf1 Hf 0.0000 0.7212 0.7500 1
Hf2 Hf 0.0000 0.2788 0.2500 1
Hf3 Hf 0.0000 0.9133 0.2500 1
Hf4 Hf 0.0000 0.0867 0.7500 1
Hf5 Hf 0.5000 0.2212 0.7500 1
Hf6 Hf 0.5000 0.5867 0.7500 1
Hf7 Hf 0.5000 0.4133 0.2500 1
Hf8 Hf 0.5000 0.7788 0.2500 1
Cr1 Cr 0.5000 0.0583 0.2500 1
Cr2 Cr 0.0000 0.4417 0.7500 1
Cr3 Cr 0.5000 0.9417 0.7500 1
Cr4 Cr 0.0000 0.5583 0.2500 1
```

=====

Table of final energy (eV per atom), in record order: -9.73; -9.54; -8.99; -9.72
Table of formation energy from the elements (meV/atom), in record order: 116; 247; 797; 119